1.
ReB2S | PBE-GGA | relaxed

a b c (Å): 4.8466 4.8466 5.5265
angles (deg): 63.99 63.99 90.00
Fractional positions:
B (0.1517, 0.6250, 0.2500)
B (0.5983, 0.1250, 0.2500)
B (0.3750, 0.4017, 0.7500)
B (0.8750, 0.8483, 0.7500)
Re (0.7500, 0.2500, 0.5000)
Re (0.0000, 0.0000, 0.0000)
S (0.2500, 0.7500, 0.5000)
S (0.5000, 0.5000, 0.0000)

Calculated values
ΔE_f (raw) in kJ per mole of atoms: 63

***

2.
LiCu5Au7 | PBE-GGA | relaxed

a b c (Å): 5.1841 6.9036 6.9036
angles (deg): 81.35 67.95 67.95
Fractional positions:
Cu (0.5034, 0.5026, 0.9943)
Cu (0.9997, 0.5026, 0.9943)
Cu (0.9997, 0.9943, 0.5026)
Cu (0.7377, 0.7623, 0.7623)
Cu (0.5034, 0.9943, 0.5026)
Li (0.9977, 0.0023, 0.0023)
Au (0.2702, 0.2298, 0.2298)
Au (0.5071, 0.1846, 0.8012)
Au (0.9970, 0.3377, 0.6684)
Au (0.9970, 0.6684, 0.3377)
Au (0.6526, 0.3474, 0.3474)
Au (0.5071, 0.8012, 0.1846)
Au (0.3276, 0.6724, 0.6724)

Calculated values
Energy relative to the elements in eV/atom: -0.08

***

3.
Sm8AlTl2 | PBE-GGA | relaxed

a b c (Å): 5.3983 8.7398 8.7534
angles (deg): 119.29 107.96 90.00
Fractional positions:
Sm (0.4094, 0.5624, 0.8188)
Sm (0.6772, 0.9497, 0.3545)
Sm (0.5906, 0.4376, 0.1812)
Sm (0.3228, 0.0503, 0.6455)
Sm (0.8691, 0.8236, 0.7382)
Sm (0.9339, 0.2816, 0.8679)
Sm (0.0661, 0.7184, 0.1321)
Sm (0.1309, 0.1764, 0.2618)
Tl (0.7763, 0.3819, 0.5526)
Tl (0.2237, 0.6181, 0.4474)
Al (0.5000, 0.0000, 0.0000)

Calculated values
Relative energy among the computed polymorphs in eV/atom: 0.0000
Energy relative to the elements in eV/atom: -0.18

***

4.
Tl4Cu3Br10 | PBE-GGA | relaxed

a b c (Å): 5.1815 5.1815 18.7219
angles (deg): 97.95 97.95 90.00
Fractional positions:
Br (0.8617, 0.3617, 0.7234)
Br (0.5000, 0.0000, 0.0000)
Br (0.2094, 0.2094, 0.4189)
Br (0.0700, 0.0700, 0.1400)
Br (0.7906, 0.7906, 0.5811)
Br (0.9300, 0.9300, 0.8600)
Br (0.6383, 0.1383, 0.2766)
Br (0.1383, 0.6383, 0.2766)
Br (0.0000, 0.5000, 0.0000)
Br (0.3617, 0.8617, 0.7234)
Tl (0.6997, 0.6997, 0.3994)
Tl (0.3003, 0.3003, 0.6006)
Tl (0.5677, 0.5677, 0.1354)
Tl (0.4323, 0.4323, 0.8646)
Cu (0.1408, 0.1408, 0.2816)
Cu (0.8592, 0.8592, 0.7184)
Cu (0.0000, 0.0000, 0.0000)

Calculated values
ΔE_f (raw) in kJ per mole of atoms: -51

***

5.
NiAs4Ru | PBE-GGA | relaxed

a b c (Å): 5.8039 5.9424 5.9877
angles (deg): 90.00 88.41 90.00
Fractional positions:
Ru (0.5000, 0.0000, 0.5000)
Ru (0.0000, 0.5000, 0.5000)
As (0.3767, 0.8781, 0.1230)
As (0.8912, 0.1228, 0.3689)
As (0.3912, 0.3772, 0.3689)
As (0.6233, 0.1219, 0.8770)
As (0.1233, 0.3781, 0.8770)
As (0.1088, 0.8772, 0.6311)
As (0.8767, 0.6219, 0.1230)
As (0.6088, 0.6228, 0.6311)
Ni (0.0000, 0.0000, 0.0000)
Ni (0.5000, 0.5000, 0.0000)

Calculated values
Relative energy among the computed polymorphs in eV/atom: 0.0000
Energy relative to the elements in eV/atom: -0.14

***

6.
MoRuRh2 | PBE-GGA | relaxed

a b c (Å): 2.7424 4.7071 5.4846
angles (deg): 54.81 90.00 90.00
Fractional positions:
Rh (0.0000, 0.0000, 0.0000)
Rh (0.5000, 0.5000, 0.0000)
Mo (0.0000, 0.0000, 0.5000)
Ru (0.5000, 0.5000, 0.5000)

Calculated values
Relative energy among the computed polymorphs in eV/atom: 0.1627
Energy relative to the elements in eV/atom: -0.05

***

7.
NaNpTl2F8 | PBE-GGA | relaxed

a b c (Å): 3.9965 6.4750 8.6659
angles (deg): 89.97 90.00 90.04
Site moments in Bohr magnetons follow the coordinates.
Fractional positions:
F (0.4995, 0.2351, 0.5003)  -0.03
F (0.9999, 0.2037, 0.8100)  -0.04
F (0.5000, 0.1831, 0.0004)  -0.02
F (0.9999, 0.2019, 0.1909)  -0.04
F (0.5000, 0.8169, 0.9996)  -0.02
F (0.5005, 0.7649, 0.4997)  -0.03
F (0.0001, 0.7963, 0.1900)  -0.04
F (0.0001, 0.7981, 0.8091)  -0.04
Np (0.0000, 0.0000, 0.0000)  2.27
Tl (0.5000, 0.4997, 0.2850)  -0.03
Tl (0.5000, 0.5003, 0.7150)  -0.03
Na (0.0000, 0.0000, 0.5000)  0.00

Calculated values
ΔE_f (raw) in kJ per mole of atoms: -258